1.
The following is a PBE calculation of a relaxed structure of NaSb2O4, from the Alexandria database.

**D(E_F)**: 0.0 states/eV per cell
**Raw formation energy**: -1.4354 eV/atom

Unit cell a=6.5987 b=6.7758 c=7.1185 alpha=63.62 beta=65.60 gamma=67.66
Space group P1 (No. 1)
One atom of each set of equivalent atoms:
Na1 0.0000 0.0000 0.0000 [1 per cell]
Na2 0.2601 0.4851 0.5242 [1 per cell]
Sb1 0.3335 0.3057 0.1101 [1 per cell]
Sb2 0.7079 0.5292 0.6070 [1 per cell]
Sb3 0.7592 0.0156 0.6685 [1 per cell]
Sb4 0.8391 0.5613 0.0533 [1 per cell]
O1 0.0564 0.2531 0.0847 [1 per cell]
O2 0.0953 0.6025 0.1233 [1 per cell]
O3 0.4519 0.3661 0.7818 [1 per cell]
O4 0.6387 0.4862 0.9589 [1 per cell]
O5 0.6417 0.4868 0.3599 [1 per cell]
O6 0.6741 0.8972 0.9989 [1 per cell]
O7 0.9385 0.2195 0.6450 [1 per cell]
O8 0.9961 0.7135 0.7186 [1 per cell]



2.
The following is a PBE calculation of a relaxed structure of Ti8ZnGa6, from the Alexandria database.

**D(E_F)**: 43.0 states/eV per cell
**Energy of formation from the pure elements**: -232 meV/atom

Unit cell a=7.6254 b=7.6254 c=15.3465 alpha=90.00 beta=90.00 gamma=120.00
Space group R-3 (No. 148, hexagonal axes)
One atom of each set of equivalent atoms:
Ti1 0.0000 0.0000 0.2431 [6 per cell]
Ti2 0.0086 0.7554 0.3864 [18 per cell]
Zn1 0.0000 0.0000 0.5000 [3 per cell]
Ga1 0.0329 0.7624 0.8936 [18 per cell]



3.
The following is a PBE calculation of a relaxed structure of Zr5UN6, from the Alexandria database.

**D(E_F)**: 14.0 states/eV per cell
**Raw formation energy**: -1.6570 eV/atom

Unit cell a=5.7046 b=9.8794 c=5.6955 alpha=90.00 beta=109.21 gamma=90.00
Space group C2/m (No. 12)
One atom of each set of equivalent atoms:
Zr1 0.0000 0.0000 0.0000 [2 per cell]
Zr2 0.0000 0.1682 0.5000 [4 per cell]
Zr3 0.0000 0.3271 0.0000 [4 per cell]
U1 0.0000 0.5000 0.5000 [2 per cell]
N1 0.2458 0.5000 0.2504 [4 per cell]
N2 0.2483 0.3354 0.7493 [8 per cell]



4.
The following is a PBE calculation of a relaxed structure of KCuIr2, from the Alexandria database.

**Energy relative to the lowest polymorph listed for this composition**: 154 meV per atom
**D(E_F)**: 13.0 states/eV per cell
**Energy of formation from the pure elements**: 576 meV/atom

Unit cell a=2.8492 b=4.6331 c=9.9567 alpha=90.00 beta=90.00 gamma=90.00
Space group Cmmm (No. 65)
One atom of each set of equivalent atoms:
K1 0.0000 0.0000 0.0000 [2 per cell]
Cu1 0.0000 0.0000 0.5000 [2 per cell]
Ir1 0.0000 0.5000 0.2846 [4 per cell]



no.,calculated density (g/cm3)
1,4.356
2,5.587
3,8.526
4,12.307